The following is a PBE-GGA calculation of a relaxed Sm2AlSnPd6 crystal, from the Alexandria database.

Properties
**SG**: C2/m, No. 12
**Magnetic moment**: 0.0 μB per formula unit
**Formation enthalpy at 0 K**: -642 meV/atom
**ρ**: 7987 kg/m³

Geometry as POSCAR:
```
Sm2AlSnPd6
1.0
8.4852 0.0837 1.9688
-0.0469 5.6818 -0.0568
5.6241 2.9411 5.9600
Pd Al Sm Sn
6 1 2 1
Direct
0.2421 0.2554 0.4906 Pd
0.7579 0.7446 0.5094 Pd
0.7446 0.2551 0.9887 Pd
0.2554 0.7449 0.0113 Pd
0.7444 0.7576 0.9883 Pd
0.2556 0.2424 0.0117 Pd
0.5000 0.5000 0.0000 Al
0.7959 0.2043 0.5908 Sm
0.2041 0.7957 0.4092 Sm
0.0000 0.0000 0.0000 Sn
```